# Pm2DyPa2Ru5, relaxed, DFT GGA-PBE
# * formation energy: -0.278 eV/atom
# * crystal system: tetragonal
# * final energy: -164.5 eV/cell
data_Pm2DyPa2Ru5
_space_group_name_H-M_alt 'P 4/m b m'
_space_group_IT_number 127
_space_group_name_Hall '-P 4 2ab'
_cell_length_a 10.749
_cell_length_b 10.749
_cell_length_c 3.675
_cell_angle_alpha 90.00
_cell_angle_beta 90.00
_cell_angle_gamma 90.00
loop_
_atom_site_label
_atom_site_fract_x
_atom_site_fract_y
_atom_site_fract_z
Pm1 0.174 0.326 0.000
Dy1 0.000 0.000 0.000
Pa1 0.134 0.634 0.000
Ru1 0.000 0.500 0.500
Ru2 0.052 0.789 0.500

# Pm2DyPaSb5, relaxed, DFT GGA-PBE
# * crystal system: tetragonal
# * raw formation energy: -1.5 eV per formula unit
# * final energy: -45.7 eV/cell
data_Pm2DyPaSb5
_space_group_name_H-M_alt 'P 4/m m m'
_space_group_IT_number 123
_space_group_name_Hall '-P 4 2'
_cell_length_a 5.474
_cell_length_b 5.474
_cell_length_c 11.620
_cell_angle_alpha 90.00
_cell_angle_beta 90.00
_cell_angle_gamma 90.00
loop_
_atom_site_label
_atom_site_fract_x
_atom_site_fract_y
_atom_site_fract_z
Pm1 0.000 0.000 0.225
Dy1 0.500 0.500 0.500
Pa1 0.500 0.500 0.000
Sb1 0.000 0.000 0.500
Sb2 0.000 0.500 0.000
Sb3 0.500 0.500 0.254

# Pm2DyPaSb4, relaxed, DFT GGA-PBE
# * crystal system: monoclinic
# * raw formation energy: -7.9 eV per formula unit
# * final energy: -48.0 eV/cell
data_Pm2DyPaSb4
_space_group_name_H-M_alt 'P 1 2/m 1'
_space_group_IT_number 10
_space_group_name_Hall '-P 2y'
_cell_length_a 7.661
_cell_length_b 4.430
_cell_length_c 7.690
_cell_angle_alpha 90.00
_cell_angle_beta 109.37
_cell_angle_gamma 90.00
loop_
_atom_site_label
_atom_site_fract_x
_atom_site_fract_y
_atom_site_fract_z
Pm1 0.000 0.000 0.000
Pm2 0.500 0.500 0.000
Dy1 0.000 0.500 0.500
Pa1 0.500 0.000 0.500
Sb1 0.249 0.000 0.741
Sb2 0.253 0.500 0.258

# PmDyPaSn, relaxed, DFT GGA-PBE
# * formation energy: 0.020 eV/atom
# * crystal system: cubic
# * final energy: -91.1 eV/cell
data_PmDyPaSn
_space_group_name_H-M_alt 'F -4 3 m'
_space_group_IT_number 216
_space_group_name_Hall 'F -4 2 3'
_cell_length_a 7.607
_cell_length_b 7.607
_cell_length_c 7.607
_cell_angle_alpha 90.00
_cell_angle_beta 90.00
_cell_angle_gamma 90.00
loop_
_atom_site_label
_atom_site_fract_x
_atom_site_fract_y
_atom_site_fract_z
Pm1 0.000 0.000 0.000
Dy1 0.000 0.000 0.500
Pa1 0.250 0.250 0.250
Sn1 0.250 0.250 0.750